[1]
Entry from Alexandria via LeMat-Bulk: an optimized crystal structure of LiCo8 (PBEsol).

Structure (POSCAR):
```
LiCo8
1.0
3.4905 0.0000 0.0000
1.7452 5.1813 0.0000
1.7452 0.0000 5.1813
Co Li
8 1
Direct
0.3291 0.0000 0.3418
0.6709 0.0000 0.6582
0.6622 0.3378 0.3378
0.3291 0.3418 0.0000
0.0000 0.3378 0.6622
0.6709 0.6582 0.0000
0.3378 0.6622 0.6622
0.0000 0.6622 0.3378
0.0000 0.0000 0.0000
```

Calculated values
The calculated formation energy is 9 kJ/mol of atoms. As for the crystal system: tetragonal. As for the space-group type: No. 139. The electronic total energy is -7.003 eV per atom. For the mass density, the calculation gives 8.5 g/cm3.

***

[2]
Entry from Alexandria via LeMat-Bulk: an optimized crystal structure of LiCo3 (PBEsol).

Structure (POSCAR):
```
LiCo3
1.0
2.3905 0.0000 0.0000
0.0000 3.6451 0.0000
0.0000 0.0000 4.8103
Co Li
3 1
Direct
0.5000 0.5000 0.7470
0.0000 0.0000 0.5000
0.5000 0.5000 0.2530
0.0000 0.0000 0.0000
```

Calculated values
The calculated formation energy is 18 kJ/mol of atoms. As for the crystal system: orthorhombic. As for the space-group type: No. 47. The electronic total energy is -6.109 eV per atom. For the mass density, the calculation gives 7.3 g/cm3.

***

[3]
Entry from Alexandria via LeMat-Bulk: an optimized crystal structure of Li2MgCo (PBEsol).

Structure (POSCAR):
```
Li2MgCo
1.0
-1.9892 -1.2617 1.3007
1.3386 -3.4155 -1.2661
3.2844 -0.4228 4.6129
Mg Co Li
1 1 2
Direct
0.0000 0.0000 0.5324
0.5000 0.5000 0.7505
0.0000 0.0000 0.9831
0.5000 0.5000 0.2340
```

Calculated values
The calculated formation energy is 22 kJ/mol of atoms. As for the crystal system: orthorhombic. As for the space-group type: No. 25. The electronic total energy is -3.119 eV per atom. For the mass density, the calculation gives 2.7 g/cm3.

***

[4]
Entry from Alexandria via LeMat-Bulk: an optimized crystal structure of Li2MgCo (PBEsol).

Structure (POSCAR):
```
Li2MgCo
1.0
2.7359 0.0000 0.0000
1.3679 2.3693 0.0000
1.3679 0.7898 9.3532
Mg Co Li
1 1 2
Direct
0.5000 0.5000 0.5000
0.0000 0.0000 0.0000
0.2605 0.2605 0.2185
0.7395 0.7395 0.7815
```

Calculated values
The calculated formation energy is 26 kJ/mol of atoms. As for the crystal system: trigonal. As for the space-group type: No. 166. The electronic total energy is -3.077 eV per atom. For the mass density, the calculation gives 2.7 g/cm3.

***

[5]
Entry from Alexandria via LeMat-Bulk: an optimized crystal structure of LiMgCo4 (PBEsol).

Structure (POSCAR):
```
LiMgCo4
1.0
4.7056 0.0000 0.0000
2.3528 4.0752 0.0000
2.3528 1.3584 3.8421
Mg Co Li
1 4 1
Direct
0.0000 0.0000 0.0000
0.3752 0.3752 0.3752
0.3752 0.3752 0.8745
0.8745 0.3752 0.3752
0.3752 0.8745 0.3752
0.7500 0.7500 0.7500
```

Calculated values
The calculated formation energy is 10 kJ/mol of atoms. As for the crystal system: cubic. As for the space-group type: No. 216. The electronic total energy is -5.667 eV per atom. For the mass density, the calculation gives 6.0 g/cm3.

***

[6]
Entry from Alexandria via LeMat-Bulk: an optimized crystal structure of LiMgCo (PBEsol).

Structure (POSCAR):
```
LiMgCo
1.0
2.5936 0.0000 0.0000
0.0000 4.2762 0.0000
0.0000 -2.1381 3.7033
Mg Co Li
1 1 1
Direct
0.3421 0.6667 0.3333
0.8885 0.0000 0.0000
0.7694 0.3333 0.6667
```

Calculated values
The calculated formation energy is 24 kJ/mol of atoms. As for the crystal system: trigonal. As for the space-group type: No. 156. The electronic total energy is -3.555 eV per atom. For the mass density, the calculation gives 3.6 g/cm3.

***

[7]
Entry from Alexandria via LeMat-Bulk: an optimized crystal structure of Li2Mg2Co (PBEsol).

Structure (POSCAR):
```
Li2Mg2Co
1.0
-3.2097 2.9957 -1.9427
-1.4741 -3.2424 3.2193
-1.9576 3.4266 2.7343
Mg Co Li
2 1 2
Direct
0.5000 0.2500 0.2500
0.5000 0.7500 0.7500
0.0000 0.0000 0.0000
0.0000 0.3478 0.6522
0.0000 0.6522 0.3478
```

Calculated values
The calculated formation energy is 45 kJ/mol of atoms. As for the crystal system: tetragonal. As for the space-group type: No. 139. The electronic total energy is -2.558 eV per atom. For the mass density, the calculation gives 2.5 g/cm3.

***

[8]
Entry from Alexandria via LeMat-Bulk: an optimized crystal structure of Li2MgCo (PBEsol).

Structure (POSCAR):
```
Li2MgCo
1.0
-0.5198 -3.6976 -0.2010
1.9787 -0.1058 -3.1711
3.4941 -0.6108 2.2005
Mg Co Li
1 1 2
Direct
0.5000 0.5000 0.5000
0.0000 0.0000 0.5000
0.0000 0.5000 0.0000
0.5000 0.0000 0.0000
```

Calculated values
The calculated formation energy is 25 kJ/mol of atoms. As for the crystal system: tetragonal. As for the space-group type: No. 123. The electronic total energy is -3.087 eV per atom. For the mass density, the calculation gives 2.8 g/cm3.

***

[9]
Entry from Alexandria via LeMat-Bulk: an optimized crystal structure of LiMg30CoO32 (PBEsol).

Structure (POSCAR):
```
LiMg30CoO32
1.0
-0.2682 -7.2821 -4.1874
-3.2646 -3.7625 6.7522
-7.7251 1.8421 -2.7086
Li Mg Co O
1 30 1 32
Direct
0.5000 0.0000 0.0000
0.0000 0.5000 0.0000
0.5000 0.5000 0.0000
0.0000 0.0000 0.5000
0.5000 0.0000 0.5000
0.0000 0.5000 0.5000
0.5000 0.5000 0.5000
0.2534 0.2468 0.0000
0.7466 0.2468 0.0000
0.2534 0.7532 0.0000
0.7466 0.7532 0.0000
0.2511 0.2496 0.5000
0.7489 0.2496 0.5000
0.2511 0.7504 0.5000
0.7489 0.7504 0.5000
0.2534 0.0000 0.2468
0.7466 0.0000 0.2468
0.2511 0.5000 0.2496
0.7489 0.5000 0.2496
0.2534 0.0000 0.7532
0.7466 0.0000 0.7532
0.2511 0.5000 0.7504
0.7489 0.5000 0.7504
0.0000 0.2489 0.2489
0.5000 0.2469 0.2469
0.0000 0.7511 0.2489
0.5000 0.7531 0.2469
0.0000 0.2489 0.7511
0.5000 0.2469 0.7531
0.0000 0.7511 0.7511
0.5000 0.7531 0.7531
0.0000 0.0000 0.0000
0.0000 0.0000 0.2372
0.5000 0.0000 0.2531
0.0000 0.5000 0.2476
0.5000 0.5000 0.2502
0.0000 0.0000 0.7628
0.5000 0.0000 0.7469
0.0000 0.5000 0.7524
0.5000 0.5000 0.7498
0.2490 0.2496 0.2496
0.7510 0.2496 0.2496
0.2490 0.7504 0.2496
0.7510 0.7504 0.2496
0.2490 0.2496 0.7504
0.7510 0.2496 0.7504
0.2490 0.7504 0.7504
0.7510 0.7504 0.7504
0.2312 0.0000 0.0000
0.7688 0.0000 0.0000
0.2458 0.5000 0.0000
0.7542 0.5000 0.0000
0.2458 0.0000 0.5000
0.7542 0.0000 0.5000
0.2486 0.5000 0.5000
0.7514 0.5000 0.5000
0.0000 0.2372 0.0000
0.5000 0.2531 0.0000
0.0000 0.7628 0.0000
0.5000 0.7469 0.0000
0.0000 0.2476 0.5000
0.5000 0.2502 0.5000
0.0000 0.7524 0.5000
0.5000 0.7498 0.5000
```

Calculated values
As for the crystal system: tetragonal. As for the space-group type: No. 123. The electronic total energy is -6.239 eV per atom. For the mass density, the calculation gives 3.7 g/cm3.

***

[10]
Entry from Alexandria via LeMat-Bulk: an optimized crystal structure of LiMg2CoPt (PBEsol).

Structure (POSCAR):
```
LiMg2CoPt
1.0
-0.1947 3.7257 0.6494
-1.7891 0.5941 -3.9445
-3.9826 -0.5096 1.7297
Mg Co Pt Li
2 1 1 1
Direct
0.0000 0.0000 0.5000
0.0000 0.5000 0.0000
0.5000 0.0000 0.0000
0.5000 0.5000 0.5000
0.0000 0.0000 0.0000
```

Calculated values
The calculated formation energy is 51 kJ/mol of atoms. As for the crystal system: tetragonal. As for the space-group type: No. 123. The electronic total energy is -3.496 eV per atom. For the mass density, the calculation gives 7.1 g/cm3.

***

[11]
Entry from Alexandria via LeMat-Bulk: an optimized crystal structure of Li2MnCo (PBEsol).

Structure (POSCAR):
```
Li2MnCo
1.0
2.3581 0.0271 0.0000
-1.0033 2.1341 0.0000
0.0000 0.0000 8.8303
Co Li Mn
1 2 1
Direct
0.5000 0.5000 0.0000
0.0000 0.0000 0.2437
0.0000 0.0000 0.7563
0.5000 0.5000 0.5000
```

Calculated values
The calculated formation energy is 31 kJ/mol of atoms. As for the crystal system: orthorhombic. As for the space-group type: No. 65. The electronic total energy is -5.038 eV per atom. For the mass density, the calculation gives 4.7 g/cm3.

***

[12]
Entry from Alexandria via LeMat-Bulk: an optimized crystal structure of Li2MnCo (PBEsol).

Structure (POSCAR):
```
Li2MnCo
1.0
-3.5582 0.3735 -1.9095
-0.4707 -1.5258 -3.7278
-2.3440 -3.2588 -0.5760
Co Li Mn
1 2 1
Direct
0.0000 0.0000 0.0000
0.2500 0.2500 0.2500
0.7500 0.7500 0.7500
0.5000 0.5000 0.5000
```

Calculated values
The calculated formation energy is 53 kJ/mol of atoms. As for the crystal system: cubic. As for the space-group type: No. 225. The electronic total energy is -4.809 eV per atom. For the mass density, the calculation gives 4.5 g/cm3.

***

[13]
Entry from Alexandria via LeMat-Bulk: an optimized crystal structure of LiMn2CoO6 (PBEsol).

Structure (POSCAR):
```
LiMn2CoO6
1.0
-2.7069 -0.7680 0.2938
1.4941 -5.4736 -0.5419
1.6630 1.6322 5.9682
Li Mn Co O
1 2 1 6
Direct
0.0000 0.0000 0.0000
0.6706 0.8132 0.3411
0.3294 0.1868 0.6589
0.0000 0.5000 0.0000
0.4861 0.2704 0.9721
0.8271 0.9545 0.6543
0.5139 0.7296 0.0279
0.8424 0.4067 0.6848
0.1729 0.0455 0.3457
0.1576 0.5933 0.3152
```

Calculated values
As for the crystal system: monoclinic. As for the space-group type: No. 12. The electronic total energy is -7.659 eV per atom. For the mass density, the calculation gives 4.7 g/cm3.

***

[14]
Entry from Alexandria via LeMat-Bulk: an optimized crystal structure of Li5Mn5Co2O12 (PBEsol).

Structure (POSCAR):
```
Li5Mn5Co2O12
1.0
-4.0667 -1.3399 2.5839
1.3857 -2.6269 -4.0236
6.1921 -4.3084 5.9487
Mn Co O Li
5 2 12 5
Direct
0.0020 0.4962 0.7452
0.5038 0.9980 0.2548
0.0758 0.9242 0.0000
0.5812 0.4188 0.5000
0.4176 0.5824 0.0000
0.2529 0.7471 0.5000
0.7519 0.2481 0.0000
0.9579 0.7644 0.6137
0.7109 0.5613 0.8815
0.3599 0.8506 0.8737
0.8447 0.3604 0.3738
0.7774 0.9432 0.1291
0.5293 0.6966 0.3862
0.4387 0.2891 0.1185
0.2356 0.0421 0.3863
0.1494 0.6401 0.1263
0.6396 0.1553 0.6262
0.3034 0.4707 0.6138
0.0568 0.2226 0.8709
0.8353 0.6654 0.2571
0.3346 0.1647 0.7429
0.6651 0.8405 0.7420
0.1595 0.3349 0.2580
0.9185 0.0815 0.5000
```

Calculated values
As for the crystal system: monoclinic. As for the space-group type: No. 5. The electronic total energy is -7.336 eV per atom. For the mass density, the calculation gives 5.0 g/cm3.

***

[15]
Entry from Alexandria via LeMat-Bulk: an optimized crystal structure of Li2Mn3CoO8 (PBEsol).

Structure (POSCAR):
```
Li2Mn3CoO8
1.0
5.6862 0.1263 -0.0868
2.7550 4.9792 0.0171
-2.7550 -1.7696 4.6542
Li Mn Co O
2 3 1 8
Direct
0.3753 0.8751 0.1249
0.6247 0.1249 0.8751
0.5000 0.5000 0.5000
0.0000 0.0000 0.5000
0.0000 0.5000 0.0000
0.0000 0.5000 0.5000
0.2383 0.7380 0.2620
0.7617 0.2620 0.7380
0.2366 0.7370 0.7094
0.7906 0.7366 0.2634
0.2366 0.2906 0.2630
0.7634 0.7094 0.7370
0.2094 0.2634 0.7366
0.7634 0.2630 0.2906
```

Calculated values
As for the crystal system: trigonal. As for the space-group type: No. 166. The electronic total energy is -7.668 eV per atom. For the mass density, the calculation gives 4.7 g/cm3.

***

[16]
Entry from Alexandria via LeMat-Bulk: an optimized crystal structure of Li7Mn3Co3O16 (PBEsol).

Structure (POSCAR):
```
Li7Mn3Co3O16
1.0
5.5814 0.0000 0.0000
-2.7907 4.7975 0.0613
0.0000 -0.3567 9.7307
Li Mn Co O
7 3 3 16
Direct
0.0054 0.0109 0.5043
0.3355 0.6709 0.0331
0.3346 0.6692 0.5766
0.3420 0.6840 0.7990
0.8312 0.1817 0.0489
0.6706 0.3413 0.4964
0.3504 0.1817 0.0489
0.6661 0.8312 0.2789
0.1651 0.8312 0.2789
0.8433 0.6866 0.7976
0.1668 0.3336 0.2840
0.8406 0.1851 0.7884
0.3446 0.1851 0.7884
0.0004 0.0008 0.1748
0.0069 0.0139 0.6920
0.1678 0.3356 0.8966
0.4780 0.5069 0.1762
0.0290 0.5069 0.1762
0.3381 0.6761 0.3846
0.6947 0.8715 0.8963
0.4894 0.9788 0.1707
0.8446 0.1591 0.3847
0.5164 0.0328 0.6857
0.1768 0.8715 0.8963
0.9896 0.5062 0.6873
0.6745 0.3490 0.8960
0.3145 0.1591 0.3847
0.5165 0.5062 0.6873
0.8460 0.6920 0.3838
```

Calculated values
As for the crystal system: monoclinic. As for the space-group type: No. 8. The electronic total energy is -6.754 eV per atom. For the mass density, the calculation gives 4.1 g/cm3.

***

[17]
Entry from Alexandria via LeMat-Bulk: an optimized crystal structure of Li2MnCo3O8 (PBEsol).

Structure (POSCAR):
```
Li2MnCo3O8
1.0
7.9602 0.0070 0.0070
-0.0069 7.9603 0.0053
-0.0069 -0.0050 7.9603
Li Mn Co O
8 4 12 32
Direct
0.1289 0.7463 0.9961
0.8711 0.0039 0.2537
0.8788 0.4963 0.7537
0.6212 0.7540 0.4961
0.6289 0.2539 0.0037
0.3711 0.9963 0.7461
0.3788 0.5039 0.2460
0.1212 0.2463 0.5037
0.0000 0.6252 0.3748
0.7500 0.8750 0.8748
0.5000 0.3751 0.6249
0.2500 0.1252 0.1250
0.9985 0.8736 0.6249
0.0000 0.1236 0.8764
0.0015 0.3751 0.1264
0.7485 0.1251 0.6264
0.7500 0.3767 0.3764
0.7515 0.6266 0.1249
0.4985 0.1267 0.3749
0.5000 0.8767 0.1233
0.5015 0.6251 0.8733
0.2485 0.8751 0.3734
0.2500 0.6236 0.6233
0.2515 0.3736 0.8749
0.0119 0.8630 0.3887
0.0139 0.6370 0.6127
0.0168 0.3583 0.8917
0.9878 0.8870 0.8610
0.0122 0.1390 0.1130
0.9832 0.1083 0.6417
0.9861 0.3873 0.3630
0.9881 0.6113 0.1370
0.7619 0.8890 0.6370
0.7639 0.1129 0.8630
0.7668 0.3919 0.1417
0.7378 0.3612 0.6130
0.7622 0.6133 0.3610
0.7332 0.1420 0.3917
0.7361 0.8632 0.1126
0.7381 0.6372 0.8887
0.5119 0.1373 0.6110
0.5139 0.3632 0.3871
0.5168 0.6420 0.1081
0.4878 0.1133 0.1388
0.5122 0.8612 0.8867
0.4832 0.8919 0.3580
0.4861 0.6129 0.6368
0.4881 0.3890 0.8627
0.2619 0.1113 0.3628
0.2639 0.8874 0.1368
0.2668 0.6083 0.8580
0.2378 0.6390 0.3867
0.2622 0.3870 0.6388
0.2332 0.8583 0.6081
0.2361 0.1370 0.8871
0.2381 0.3630 0.1110
```

Calculated values
As for the crystal system: cubic. As for the space-group type: No. 213. The electronic total energy is -7.132 eV per atom. For the mass density, the calculation gives 4.9 g/cm3.

***

[18]
Entry from Alexandria via LeMat-Bulk: an optimized crystal structure of Li3Mn3CoO8 (PBEsol).

Structure (POSCAR):
```
Li3Mn3CoO8
1.0
5.5865 0.0000 0.0000
2.7932 4.8381 0.0000
2.7932 1.6127 4.7714
Li Mn Co O
3 3 1 8
Direct
0.5000 0.0000 0.5000
0.0000 0.5000 0.5000
0.0000 0.0000 0.5000
0.5000 0.5000 0.0000
0.5000 0.0000 0.0000
0.0000 0.5000 0.0000
0.0000 0.0000 0.0000
0.7634 0.7634 0.2163
0.2577 0.2577 0.2270
0.2568 0.7634 0.2163
0.7634 0.2568 0.2163
0.2366 0.7432 0.7837
0.7432 0.2366 0.7837
0.7423 0.7423 0.7730
0.2366 0.2366 0.7837
```

Calculated values
As for the crystal system: trigonal. As for the space-group type: No. 166. The electronic total energy is -7.390 eV per atom. For the mass density, the calculation gives 4.8 g/cm3.